Entry 1:
! Cs4Ac3HfTe8 (GGA-PBE, optimized geometry); values from VASP
&SYSTEM
  ibrav = 0, nat = 16, ntyp = 4
/
ATOMIC_SPECIES
Cs 132.91 Cs.upf
Ac 227.00 Ac.upf
Hf 178.49 Hf.upf
Te 127.60 Te.upf
ATOMIC_POSITIONS crystal
Cs 0.500 0.000 0.000
Cs 0.500 0.000 0.500
Cs 0.000 0.000 0.000
Cs 0.000 0.000 0.500
Ac 0.500 0.500 0.000
Ac 0.500 0.500 0.500
Ac 0.000 0.500 0.500
Hf 0.000 0.500 0.000
Te 0.214 0.691 0.978
Te 0.214 0.691 0.428
Te 0.263 0.290 0.527
Te 0.764 0.691 0.978
Te 0.236 0.309 0.022
Te 0.737 0.710 0.473
Te 0.786 0.309 0.572
Te 0.786 0.309 0.022
CELL_PARAMETERS angstrom
9.483 0.000 0.000
0.000 10.498 0.716
-4.741 -4.742 6.704
! Space group   No. 166
! Formation energy without anion corrections   -1.298 eV/atom
! DOS(E_F)   0.318 states/eV per atom
! Crystal system   trigonal


Entry 2:
! PrTeCl (GGA-PBE, optimized geometry); values from VASP
&SYSTEM
  ibrav = 0, nat = 6, ntyp = 3
/
ATOMIC_SPECIES
Pr 140.91 Pr.upf
Te 127.60 Te.upf
Cl 35.45 Cl.upf
ATOMIC_POSITIONS crystal
Pr 0.000 0.500 0.761
Pr 0.500 0.000 0.239
Te 0.000 0.500 0.366
Te 0.500 0.000 0.634
Cl 0.000 0.000 0.000
Cl 0.500 0.500 0.000
CELL_PARAMETERS angstrom
4.507 0.000 0.000
0.000 4.507 0.000
0.000 0.000 8.307
! Space group   No. 129
! Formation energy without anion corrections   -1.837 eV/atom
! DOS(E_F)   0.006 states/eV per atom
! Crystal system   tetragonal
! Distance to the lowest polymorph of the same formula   0 meV per atom


Entry 3:
! TlNi2W2 (GGA-PBE, optimized geometry); values from VASP
&SYSTEM
  ibrav = 0, nat = 5, ntyp = 3
/
ATOMIC_SPECIES
Ni 58.69 Ni.upf
Tl 204.38 Tl.upf
W 183.84 W.upf
ATOMIC_POSITIONS crystal
Ni 0.401 0.401 0.198
Ni 0.599 0.599 0.802
Tl 0.000 0.000 0.000
W 0.750 0.250 0.500
W 0.250 0.750 0.500
CELL_PARAMETERS angstrom
-3.380 1.102 -1.115
1.096 -0.232 -3.553
-2.931 -5.237 -2.516
! Space group   No. 139
! DOS(E_F)   0.626 states/eV per atom
! Formation energy from the elements   0.56 eV per atom
! Crystal system   tetragonal
! Distance to the lowest polymorph of the same formula   0 meV per atom


Entry 4:
! Tm5Tl2Pt (GGA-PBE, optimized geometry); values from VASP
&SYSTEM
  ibrav = 0, nat = 16, ntyp = 3
/
ATOMIC_SPECIES
Tm 168.93 Tm.upf
Tl 204.38 Tl.upf
Pt 195.08 Pt.upf
ATOMIC_POSITIONS crystal
Tm 0.000 0.000 0.500
Tm 0.000 0.500 0.000
Tm 0.000 0.864 0.212
Tm 0.000 0.136 0.788
Tm 0.000 0.636 0.712
Tm 0.000 0.364 0.288
Tm 0.500 0.678 0.419
Tm 0.500 0.322 0.581
Tm 0.500 0.822 0.919
Tm 0.500 0.178 0.081
Tl 0.500 0.589 0.164
Tl 0.500 0.411 0.836
Tl 0.500 0.911 0.664
Tl 0.500 0.089 0.336
Pt 0.000 0.500 0.500
Pt 0.000 0.000 0.000
CELL_PARAMETERS angstrom
4.729 0.000 0.000
0.000 7.209 0.000
0.000 0.000 12.410
! Space group   No. 55
! DOS(E_F)   0.727 states/eV per atom
! Formation energy from the elements   -0.54 eV per atom
! Crystal system   orthorhombic
! Distance to the lowest polymorph of the same formula   0 meV per atom


Entry 5:
! NdSm4Co (GGA-PBE, optimized geometry); values from VASP
&SYSTEM
  ibrav = 0, nat = 6, ntyp = 3
/
ATOMIC_SPECIES
Nd 144.24 Nd.upf
Sm 150.36 Sm.upf
Co 58.93 Co.upf
ATOMIC_POSITIONS crystal
Nd 0.000 0.000 0.000
Sm 0.548 0.123 0.198
Sm 0.139 0.239 0.382
Sm 0.861 0.761 0.618
Sm 0.452 0.877 0.802
Co 0.500 0.500 0.500
CELL_PARAMETERS angstrom
6.218 0.298 -0.989
0.982 3.501 0.466
-1.291 1.168 8.687
! Space group   No. 2
! DOS(E_F)   1.263 states/eV per atom
! Formation energy from the elements   0.02 eV per atom
! Crystal system   triclinic
! Distance to the lowest polymorph of the same formula   15 meV per atom


Entry 6:
! KH2I2 (GGA-PBE, optimized geometry); values from VASP
&SYSTEM
  ibrav = 0, nat = 10, ntyp = 3
/
ATOMIC_SPECIES
K 39.10 K.upf
H 1.01 H.upf
I 126.90 I.upf
ATOMIC_POSITIONS crystal
K 0.769 0.000 0.250
K 0.231 0.000 0.750
H 0.634 0.735 0.400
H 0.899 0.265 0.100
H 0.366 0.265 0.600
H 0.101 0.735 0.900
I 0.401 0.269 0.101
I 0.132 0.731 0.399
I 0.599 0.731 0.899
I 0.868 0.269 0.601
CELL_PARAMETERS angstrom
4.143 0.000 0.000
-2.071 8.057 0.541
0.000 -2.938 9.201
! Space group   No. 15
! DOS(E_F)   0.297 states/eV per atom
! Crystal system   monoclinic
! Distance to the lowest polymorph of the same formula   275 meV per atom


Entry 7:
! Nb2GaI (GGA-PBE, optimized geometry); values from VASP
&SYSTEM
  ibrav = 0, nat = 8, ntyp = 3
/
ATOMIC_SPECIES
I 126.90 I.upf
Nb 92.91 Nb.upf
Ga 69.72 Ga.upf
ATOMIC_POSITIONS crystal
I 0.000 0.000 0.000
I 0.750 0.250 0.500
Nb 0.614 0.125 0.250
Nb 0.136 0.625 0.250
Nb 0.375 0.386 0.750
Nb 0.875 0.864 0.750
Ga 0.500 0.500 0.000
Ga 0.250 0.750 0.500
CELL_PARAMETERS angstrom
-0.701 4.092 0.350
-0.370 -0.416 4.129
9.061 3.395 3.255
! Space group   No. 122
! Formation energy without anion corrections   0.573 eV/atom
! DOS(E_F)   0.689 states/eV per atom
! Crystal system   tetragonal
! Distance to the lowest polymorph of the same formula   210 meV per atom


Entry 8:
! HoTmMgBi (GGA-PBE, optimized geometry); values from VASP
&SYSTEM
  ibrav = 0, nat = 4, ntyp = 4
/
ATOMIC_SPECIES
Mg 24.30 Mg.upf
Tm 168.93 Tm.upf
Bi 208.98 Bi.upf
Ho 164.93 Ho.upf
ATOMIC_POSITIONS crystal
Mg 0.000 0.000 0.000
Tm 0.750 0.750 0.750
Bi 0.500 0.500 0.500
Ho 0.250 0.250 0.250
CELL_PARAMETERS angstrom
5.396 0.000 0.000
2.698 4.673 0.000
2.698 1.558 4.406
! Space group   No. 216
! DOS(E_F)   1.115 states/eV per atom
! Formation energy from the elements   -0.26 eV per atom
! Crystal system   cubic


| no. | mass density (Mg/m³) | total DFT energy (no corrections) (eV/f.u.) |
| --- | --- | --- |
| 1 | 5.72 | -71.6 |
| 2 | 5.98 | -15.3 |
| 3 | 13.86 | -37.0 |
| 4 | 11.37 | -37.4 |
| 5 | 7.53 | -30.7 |
| 6 | 3.12 | -12.0 |
| 7 | 7.49 | -22.4 |
| 8 | 8.48 | -15.6 |